No. 1
A plane-wave DFT calculation with PBE was carried out for Y2Cd5In after structural relaxation.

## Properties
The density comes out at 7.14 g/cm³. The energy relative to the elements is -1.990 eV/f.u. As for the crystal system: orthorhombic.

CIF file:
```
data_Y2Cd5In
_chemical_formula_sum 'Y8 Cd20 In4'
_space_group_name_H-M_alt 'C m c m'
_space_group_IT_number 63
_space_group_name_Hall '-C 2c 2'
_cell_length_a 4.310
_cell_length_b 18.146
_cell_length_c 10.171
_cell_angle_alpha 90.00
_cell_angle_beta 90.00
_cell_angle_gamma 90.00
loop_
_atom_site_label
_atom_site_fract_x
_atom_site_fract_y
_atom_site_fract_z
_atom_site_occupancy
Y1 0.000 0.000 0.000 1
Y2 0.000 0.184 0.250 1
Cd1 0.000 0.207 0.600 1
Cd2 0.000 0.366 0.531 1
Cd3 0.000 0.382 0.250 1
In1 0.000 0.464 0.750 1
```

=====

No. 2
A plane-wave DFT calculation with PBE was carried out for Y2Cd3In3 after structural relaxation.

## Properties
The density comes out at 7.34 g/cm³. The energy relative to the elements is -3.010 eV/f.u. As for the crystal system: orthorhombic.

CIF file:
```
data_Y2Cd3In3
_chemical_formula_sum 'Y2 Cd3 In3'
_space_group_name_H-M_alt 'P m m m'
_space_group_IT_number 47
_cell_length_a 4.542
_cell_length_b 4.590
_cell_length_c 9.322
_cell_angle_alpha 90.00
_cell_angle_beta 90.00
_cell_angle_gamma 90.00
loop_
_space_group_symop_operation_xyz
'x,y,z'
'-x,-y,-z'
'-x,-y,z'
'x,y,-z'
'x,-y,-z'
'-x,y,z'
'-x,y,-z'
'x,-y,z'
loop_
_atom_site_label
_atom_site_fract_x
_atom_site_fract_y
_atom_site_fract_z
_atom_site_occupancy
Y1 0.000 0.000 0.247 1
Cd1 0.000 0.500 0.000 1
Cd2 0.000 0.500 0.500 1
Cd3 0.500 0.000 0.500 1
In1 0.500 0.000 0.000 1
In2 0.500 0.500 0.255 1
```

=====

No. 3
A plane-wave DFT calculation with PBE was carried out for YCdIn2 after structural relaxation.

## Properties
The density comes out at 6.85 g/cm³. The energy relative to the elements is -0.815 eV/f.u. As for the crystal system: monoclinic.

CIF file:
```
data_YCdIn2
_chemical_formula_sum 'Y2 Cd2 In4'
_space_group_name_H-M_alt 'C 1 2/m 1'
_space_group_IT_number 12
_cell_length_a 10.501
_cell_length_b 3.672
_cell_length_c 5.580
_cell_angle_alpha 90.00
_cell_angle_beta 103.91
_cell_angle_gamma 90.00
loop_
_space_group_symop_operation_xyz
'x,y,z'
'-x,-y,-z'
'-x,y,-z'
'x,-y,z'
'x+1/2,y+1/2,z'
'-x+1/2,-y+1/2,-z'
'-x+1/2,y+1/2,-z'
'x+1/2,-y+1/2,z'
loop_
_atom_site_label
_atom_site_fract_x
_atom_site_fract_y
_atom_site_fract_z
_atom_site_occupancy
Y1 0.000 0.000 0.000 1
Cd1 0.000 0.500 0.500 1
In1 0.243 0.000 0.737 1
```

=====

No. 4
A plane-wave DFT calculation with PBE was carried out for Y2CdIn2 after structural relaxation.

## Properties
The density comes out at 5.99 g/cm³. Its polymorph energy (0 for the lowest one) is 0.204 eV/atom. The energy relative to the elements is -1.101 eV/f.u. As for the crystal system: tetragonal.

CIF file:
```
data_Y2CdIn2
_chemical_formula_sum 'Y4 Cd2 In4'
_space_group_name_H-M_alt 'P 4/m b m'
_space_group_IT_number 127
_space_group_name_Hall '-P 4 2ab'
_cell_length_a 8.784
_cell_length_b 8.784
_cell_length_c 3.733
_cell_angle_alpha 90.00
_cell_angle_beta 90.00
_cell_angle_gamma 90.00
loop_
_atom_site_label
_atom_site_fract_x
_atom_site_fract_y
_atom_site_fract_z
_atom_site_occupancy
Y1 0.179 0.321 0.000 1
Cd1 0.000 0.000 0.000 1
In1 0.121 0.621 0.500 1
```

=====

No. 5
A plane-wave DFT calculation with PBE was carried out for Y3Cd4In after structural relaxation.

## Properties
The density comes out at 6.27 g/cm³. The energy relative to the elements is -1.048 eV/f.u. As for the crystal system: orthorhombic.

CIF file:
```
data_Y3Cd4In
_chemical_formula_sum 'Y6 Cd8 In2'
_space_group_name_H-M_alt 'I m m m'
_space_group_IT_number 71
_space_group_name_Hall '-I 2 2'
_cell_length_a 3.548
_cell_length_b 8.131
_cell_length_c 15.273
_cell_angle_alpha 90.00
_cell_angle_beta 90.00
_cell_angle_gamma 90.00
loop_
_atom_site_label
_atom_site_fract_x
_atom_site_fract_y
_atom_site_fract_z
_atom_site_occupancy
Y1 0.000 0.000 0.000 1
Y2 0.000 0.500 0.179 1
Cd1 0.000 0.310 0.358 1
In1 0.000 0.000 0.500 1
```

=====

No. 6
A plane-wave DFT calculation with PBE was carried out for YCdIn2 after structural relaxation.

## Properties
The density comes out at 6.95 g/cm³. The energy relative to the elements is -0.994 eV/f.u. As for the crystal system: monoclinic.

CIF file:
```
data_YCdIn2
_chemical_formula_sum 'Y1 Cd1 In2'
_space_group_name_H-M_alt 'P 1 m 1'
_space_group_IT_number 6
_cell_length_a 3.361
_cell_length_b 4.999
_cell_length_c 6.132
_cell_angle_alpha 90.00
_cell_angle_beta 90.02
_cell_angle_gamma 90.00
loop_
_space_group_symop_operation_xyz
'x,y,z'
'x,-y,z'
loop_
_atom_site_label
_atom_site_fract_x
_atom_site_fract_y
_atom_site_fract_z
_atom_site_occupancy
Y1 0.000 0.000 0.000 1
Cd1 0.499 0.500 0.755 1
In1 0.498 0.000 0.505 1
In2 0.501 0.500 0.230 1
```